16
Lattice="6.205 0.000 0.000 -3.102 5.373 0.000 0.000 0.000 22.010" Properties=species:S:1:pos:R:3 comment="K5HgBi2 PBE optimized geometry" dos_ef_per_ev_cell=6.548 sg="P6_3/mmc, No. 194" pbc="T T T"
K 0.000 0.000 3.093
K 0.000 0.000 7.912
K 0.000 0.000 14.097
K 0.000 0.000 18.917
K 0.000 3.582 1.110
K 0.000 3.582 5.502
K 0.000 3.582 9.894
K 3.102 1.791 12.115
K 3.102 1.791 16.507
K 3.102 1.791 20.899
Hg 0.000 3.582 16.507
Hg 3.102 1.791 5.502
Bi 0.000 3.582 13.626
Bi 0.000 3.582 19.389
Bi 3.102 1.791 2.621
Bi 3.102 1.791 8.384



16
Lattice="2.590 -6.256 0.000 2.590 6.256 0.000 0.000 0.000 17.780" Properties=species:S:1:pos:R:3 comment="K3Hg3Bi2 PBE optimized geometry" dos_ef_per_ev_cell=6.840 sg="Cmcm, No. 63" pbc="T T T"
K 2.590 5.153 10.720
K 2.590 5.153 15.950
K 2.590 1.541 13.335
K 2.590 -1.541 4.445
K 2.590 -5.153 1.830
K 2.590 -5.153 7.060
Hg 2.590 1.984 4.445
Hg 2.590 1.405 9.473
Hg 2.590 1.405 17.197
Hg 2.590 -1.405 0.583
Hg 2.590 -1.405 8.307
Hg 2.590 -1.984 13.335
Bi 2.590 3.725 1.777
Bi 2.590 3.725 7.113
Bi 2.590 -3.725 10.667
Bi 2.590 -3.725 16.002



7
Lattice="2.990 1.726 9.618 -2.990 1.726 9.618 0.000 -3.453 9.618" Properties=species:S:1:pos:R:3 comment="K4Hg2Bi PBE optimized geometry" dos_ef_per_ev_cell=3.934 sg="R-3m, No. 166" pbc="T T T"
K 0.000 0.000 3.561
K 0.000 0.000 10.813
K 0.000 0.000 18.041
K 0.000 0.000 25.293
Hg 0.000 0.000 7.300
Hg 0.000 0.000 21.554
Bi 0.000 0.000 0.000



9
Lattice="7.557 -4.355 0.000 7.557 4.355 0.000 -0.007 0.000 6.104" Properties=species:S:1:pos:R:3 comment="K6HgBi2 PBE optimized geometry" dos_ef_per_ev_cell=6.648 sg="C2/m, No. 12" pbc="T T T"
K 6.083 2.549 4.666
K 4.599 0.000 1.445
K 9.025 2.549 1.438
K 6.083 -2.549 4.666
K 10.509 0.000 4.659
K 9.025 -2.549 1.438
Hg 7.554 0.000 3.052
Bi 2.506 0.000 4.506
Bi 12.602 0.000 1.598



12
Lattice="5.357 -8.222 0.000 5.357 8.222 0.000 -2.887 0.000 4.759" Properties=species:S:1:pos:R:3 comment="K5Hg6Bi PBE optimized geometry" dos_ef_per_ev_cell=4.788 sg="C2/m, No. 12" pbc="T T T"
K 0.000 0.000 0.000
K 3.914 5.348 2.379
K 5.357 2.565 0.000
K 5.357 -2.565 0.000
K 3.914 -5.348 2.379
Hg 1.997 2.484 1.215
Hg 0.456 0.000 3.531
Hg 1.997 -2.484 1.215
Hg 5.831 2.484 3.544
Hg 7.372 0.000 1.228
Hg 5.831 -2.484 3.544
Bi 3.914 0.000 2.379



10
Lattice="-5.557 5.011 4.746 5.557 -5.011 4.746 5.557 5.011 -4.746" Properties=species:S:1:pos:R:3 comment="K3HgBi PBE optimized geometry" sg="Ima2, No. 46" pbc="T T T"
K 0.629 1.983 0.000
K 4.929 1.983 0.000
K 2.779 -0.952 3.169
K 2.779 5.963 -1.576
K 0.629 3.028 4.746
K 4.929 3.028 4.746
Hg 2.779 4.562 1.713
Hg 2.779 0.449 6.459
Bi 8.336 0.811 -0.303
Bi -2.779 4.200 4.443



12
Lattice="8.995 -2.503 0.000 8.995 2.503 0.000 -8.685 0.000 10.622" Properties=species:S:1:pos:R:3 comment="K5Hg5Bi2 PBE optimized geometry" dos_ef_per_ev_cell=3.891 sg="C2/m, No. 12" pbc="T T T"
K 0.000 0.000 0.000
K 1.815 0.000 4.454
K 5.243 0.000 1.790
K 4.061 0.000 8.832
K 7.489 0.000 6.168
Hg -4.343 0.000 5.311
Hg -1.818 0.000 3.588
Hg -2.313 0.000 8.913
Hg 11.617 0.000 1.709
Hg 11.122 0.000 7.034
Bi 0.613 0.000 7.906
Bi 8.691 0.000 2.716



11
Lattice="10.643 -3.027 0.000 10.643 3.027 0.000 -3.466 0.000 8.121" Properties=species:S:1:pos:R:3 comment="K8HgBi2 PBE optimized geometry" dos_ef_per_ev_cell=6.580 sg="C2/m, No. 12" pbc="T T T"
K -0.452 0.000 2.119
K 1.592 0.000 6.501
K 5.030 0.000 4.538
K 8.224 0.000 0.426
K 9.595 0.000 7.695
K 12.790 0.000 3.583
K 16.227 0.000 1.620
K 18.271 0.000 6.002
Hg 8.910 0.000 4.060
Bi 3.090 0.000 1.439
Bi 14.729 0.000 6.682



9
Lattice="4.706 -5.849 0.000 4.706 5.849 0.000 -0.395 0.000 5.185" Properties=species:S:1:pos:R:3 comment="KHg6Bi2 PBE optimized geometry" dos_ef_per_ev_cell=1.362 sg="C2/m, No. 12" pbc="T T T"
K 0.000 0.000 0.000
Hg 2.844 1.819 4.811
Hg 4.508 3.496 2.592
Hg 2.844 -1.819 4.811
Hg 6.173 1.819 0.374
Hg 4.508 -3.496 2.592
Hg 6.173 -1.819 0.374
Bi 3.017 0.000 2.325
Bi 6.000 0.000 2.860



12
Lattice="2.440 -13.040 0.000 2.440 13.040 0.000 0.000 0.000 6.478" Properties=species:S:1:pos:R:3 comment="KHg4Bi PBE optimized geometry" dos_ef_per_ev_cell=4.170 sg="Cmcm, No. 63" pbc="T T T"
K 2.440 10.235 4.859
K 2.440 -10.235 1.620
Hg 2.440 8.558 1.620
Hg 2.440 5.524 0.117
Hg 2.440 5.524 3.122
Hg 2.440 0.000 0.000
Hg 2.440 0.000 3.239
Hg 2.440 -5.524 3.356
Hg 2.440 -5.524 6.361
Hg 2.440 -8.558 4.859
Bi 2.440 2.429 4.859
Bi 2.440 -2.429 1.620



30
Lattice="0.000 7.703 7.703 7.703 0.000 7.703 7.703 7.703 0.000" Properties=species:S:1:pos:R:3 comment="K6Hg23Bi PBE optimized geometry" dos_ef_per_ev_cell=8.217 sg="Fm-3m, No. 225" pbc="T T T"
K 7.703 7.703 3.653
K 7.703 3.653 7.703
K 11.754 7.703 7.703
K 3.653 7.703 7.703
K 7.703 11.754 7.703
K 7.703 7.703 11.754
Hg 0.000 0.000 0.000
Hg 3.852 3.852 0.000
Hg 3.852 0.000 3.852
Hg 7.703 3.852 3.852
Hg 9.683 5.724 5.724
Hg 2.261 2.261 2.261
Hg 5.443 5.443 2.261
Hg 5.443 2.261 5.443
Hg 5.724 5.724 5.724
Hg 9.683 9.683 5.724
Hg 9.683 5.724 9.683
Hg 13.146 9.964 9.964
Hg 0.000 3.852 3.852
Hg 3.852 7.703 3.852
Hg 3.852 3.852 7.703
Hg 2.261 5.443 5.443
Hg 5.724 9.683 5.724
Hg 5.724 5.724 9.683
Hg 9.683 9.683 9.683
Hg 9.964 13.146 9.964
Hg 9.964 9.964 13.146
Hg 13.146 13.146 13.146
Hg 5.724 9.683 9.683
Bi 7.703 7.703 7.703



20
Lattice="8.145 0.000 0.000 0.000 9.280 0.000 -0.419 0.000 11.711" Properties=species:S:1:pos:R:3 comment="K3HgBi PBE optimized geometry" dos_ef_per_ev_cell=0.050 sg="P2_1/c, No. 14" pbc="T T T"
K 1.176 1.670 4.554
K 0.967 2.970 10.409
K 1.464 4.843 7.063
K 1.673 9.078 1.208
K 2.121 4.936 1.905
K 1.912 8.984 7.761
K 5.815 0.296 3.950
K 5.605 4.344 9.806
K 6.054 0.202 10.503
K 6.263 4.438 4.648
K 6.760 6.310 1.302
K 6.551 7.610 7.157
Hg 3.592 6.948 5.070
Hg 3.383 6.973 10.926
Hg 4.344 2.308 0.785
Hg 4.134 2.332 6.641
Bi 0.499 6.661 10.160
Bi 0.709 7.260 4.305
Bi 7.018 2.021 7.406
Bi 7.227 2.619 1.551



19
Lattice="-5.952 5.952 5.952 5.952 -5.952 5.952 5.952 5.952 -5.952" Properties=species:S:1:pos:R:3 comment="K12Hg6Bi PBE optimized geometry" dos_ef_per_ev_cell=16.454 sg="Im-3, No. 204" pbc="T T T"
K 5.952 -2.612 3.832
K 3.339 2.120 0.000
K 8.564 2.120 0.000
K 3.832 5.952 -2.612
K 2.120 0.000 3.339
K 0.000 3.339 2.120
K 5.952 2.612 3.832
K 3.832 5.952 2.612
K 2.120 0.000 8.564
K -2.612 3.832 5.952
K 2.612 3.832 5.952
K 0.000 8.564 2.120
Hg 5.952 0.000 1.513
Hg 5.952 4.439 0.000
Hg 1.513 5.952 0.000
Hg 4.439 0.000 5.952
Hg 0.000 1.513 5.952
Hg 0.000 5.952 4.439
Bi 0.000 0.000 0.000



12
Lattice="5.299 -8.841 0.000 5.299 8.841 0.000 -3.208 0.000 4.887" Properties=species:S:1:pos:R:3 comment="K6Hg5Bi PBE optimized geometry" dos_ef_per_ev_cell=6.837 sg="C2/m, No. 12" pbc="T T T"
K 0.199 2.853 3.635
K 1.754 0.000 1.157
K 0.199 -2.853 3.635
K 7.192 2.853 1.252
K 5.638 0.000 3.730
K 7.192 -2.853 1.252
Hg 5.299 5.714 0.000
Hg 3.696 3.004 2.443
Hg 5.299 0.000 0.000
Hg 3.696 -3.004 2.443
Hg 5.299 -5.714 0.000
Bi -1.604 0.000 2.443



10
Lattice="8.919 -2.873 0.000 8.919 2.873 0.000 -2.592 0.000 6.570" Properties=species:S:1:pos:R:3 comment="KHg3Bi PBE optimized geometry" dos_ef_per_ev_cell=3.562 sg="C2/m, No. 12" pbc="T T T"
K 0.667 0.000 2.084
K 14.580 0.000 4.486
Hg 0.282 0.000 5.689
Hg 3.147 0.000 4.614
Hg 4.425 0.000 1.818
Hg 10.822 0.000 4.752
Hg 12.099 0.000 1.956
Hg 14.965 0.000 0.881
Bi 7.452 0.000 0.549
Bi 7.794 0.000 6.022



7
Lattice="6.224 -2.780 0.000 6.224 2.780 0.000 -1.684 0.000 7.620" Properties=species:S:1:pos:R:3 comment="K3Hg2Bi2 PBE optimized geometry" dos_ef_per_ev_cell=3.931 sg="C2/m, No. 12" pbc="T T T"
K 0.000 0.000 0.000
K 0.973 0.000 4.627
K 9.790 0.000 2.992
Hg 3.723 0.000 0.410
Hg 7.040 0.000 7.210
Bi 4.678 0.000 5.170
Bi 6.085 0.000 2.450



12
Lattice="0.000 5.254 9.131 4.362 0.000 9.131 4.362 5.254 0.000" Properties=species:S:1:pos:R:3 comment="K2Hg3Bi PBE optimized geometry" dos_ef_per_ev_cell=1.373 sg="Fmmm, No. 69" pbc="T T T"
K 6.645 5.254 9.131
K 2.181 2.627 4.565
K 6.544 7.881 13.696
K 2.079 5.254 9.131
Hg 4.362 2.614 7.613
Hg 4.362 5.254 3.051
Hg 4.362 2.614 10.648
Hg 4.362 7.894 7.613
Hg 4.362 5.254 15.211
Hg 4.362 7.894 10.648
Bi 4.362 5.254 6.158
Bi 4.362 5.254 12.103



10
Lattice="3.889 -5.937 0.000 3.889 5.937 0.000 0.000 0.000 7.209" Properties=species:S:1:pos:R:3 comment="KHg3Bi PBE optimized geometry" dos_ef_per_ev_cell=4.645 sg="Cmcm, No. 63" pbc="T T T"
K 3.889 3.185 5.407
K 3.889 -3.185 1.802
Hg 3.889 4.704 1.802
Hg 2.068 0.000 0.000
Hg 2.068 0.000 3.604
Hg 5.709 0.000 0.000
Hg 5.709 0.000 3.604
Hg 3.889 -4.704 5.407
Bi 3.889 1.749 1.802
Bi 3.889 -1.749 5.407



30
Lattice="7.130 0.000 0.000 0.000 7.130 0.000 0.000 0.000 18.588" Properties=species:S:1:pos:R:3 comment="K2Hg12Bi PBE optimized geometry" dos_ef_per_ev_cell=10.705 sg="P4/nbm, No. 125" pbc="T T T"
K 1.782 5.347 4.565
K 1.782 5.347 14.022
K 5.347 1.782 4.565
K 5.347 1.782 14.022
Hg 0.001 7.128 7.387
Hg 7.128 0.001 11.201
Hg 7.128 3.563 7.387
Hg 0.001 3.566 11.201
Hg 0.660 4.225 1.224
Hg 0.660 6.470 17.363
Hg 1.782 1.782 2.720
Hg 1.782 1.782 5.689
Hg 1.782 1.782 12.898
Hg 1.782 1.782 15.868
Hg 2.905 4.225 17.363
Hg 2.905 6.470 1.224
Hg 3.566 0.001 7.387
Hg 3.563 7.128 11.201
Hg 3.563 3.566 7.387
Hg 3.566 3.563 11.201
Hg 4.225 0.660 17.363
Hg 4.225 2.905 1.224
Hg 5.347 5.347 2.720
Hg 5.347 5.347 5.689
Hg 5.347 5.347 12.898
Hg 5.347 5.347 15.868
Hg 6.470 0.660 1.224
Hg 6.470 2.905 17.363
Bi 1.782 5.347 9.294
Bi 5.347 1.782 9.294



Record order is preserved below.
Density: 3.68, 6.55, 4.27, 3.53, 6.37, 3.31, 5.61, 2.96, 9.66, 8.46, 9.18, 3.95, 3.71, 5.25, 8.38, 5.90, 7.05, 8.48, 9.47 g/cm³
Record order is preserved below.
Calculated formation energy: -0.331, -0.281, -0.258, -0.235, -0.252, -0.245, -0.272, -0.272, -0.079, -0.094, -0.189, -0.328, -0.198, -0.249, -0.157, -0.306, -0.293, -0.173, -0.113 eV/atom